6
Lattice="3.722 0.000 0.003 -1.861 3.445 -0.011 -0.030 -2.166 7.869" Properties=species:S:1:pos:R:3 comment="Be2Se, relaxed, DFT PBE" mass_density_g_cm3=3.2 e_above_lowest_polymorph_ev_per_fu=0.35 energy_ev_per_atom=-3.8184 pbc="T T T"
Be 0.916 0.652 2.939
Be 0.915 0.627 4.922
Be -0.945 1.804 3.930
Be 2.777 -0.524 3.931
Se -0.947 0.650 6.027
Se 2.778 0.629 1.834

4
Lattice="-2.878 1.170 -0.907 -2.213 -1.973 -1.299 -6.165 -2.607 10.428" Properties=species:S:1:pos:R:3 comment="UInPb2, relaxed, DFT PBE" mass_density_g_cm3=11.5 formation_enthalpy_0k_ev_per_atom=0.21 e_above_lowest_polymorph_ev_per_fu=0.45 energy_ev_per_atom=-5.1534 pbc="T T T"
Pb -4.986 -1.989 7.482
Pb -6.270 -1.420 0.739
U -5.628 -1.704 4.111
In 0.000 0.000 0.000

18
Lattice="-4.201 -0.637 -5.178 0.079 -6.094 -2.778 -5.439 -3.651 1.398" Properties=species:S:1:pos:R:3 comment="Na2HoMg3F12, relaxed, DFT PBE" mass_density_g_cm3=3.5 energy_ev_per_atom=-5.1137 pbc="T T T"
Na -5.988 -6.502 -4.108
Na -3.573 -3.879 -2.451
Ho 0.000 0.000 0.000
Mg -2.100 -0.318 -2.589
Mg 0.040 -3.047 -1.389
Mg -2.720 -1.825 0.699
F -5.922 -5.000 -0.810
F -5.707 -7.217 -6.236
F -6.267 -8.582 -3.260
F -5.137 -3.089 -4.980
F -8.204 -6.112 -4.346
F -2.423 -6.550 -3.458
F -3.639 -5.381 -5.749
F -3.854 -3.164 -0.323
F -3.294 -1.800 -3.299
F -4.424 -7.293 -1.579
F -1.357 -4.270 -2.213
F -7.138 -3.832 -3.100

22
Lattice="-5.048 -2.287 8.117 9.309 0.138 -3.150 5.402 8.204 8.650" Properties=species:S:1:pos:R:3 comment="Dy3Er7Th, relaxed, DFT PBE" mass_density_g_cm3=9.0 formation_enthalpy_0k_ev_per_atom=0.16 e_above_lowest_polymorph_ev_per_fu=0.00 energy_ev_per_atom=-4.6698 pbc="T T T"
Dy 8.706 6.222 4.913
Dy 0.000 0.000 0.000
Dy 2.701 4.102 4.325
Dy 8.135 1.045 3.071
Dy 1.529 5.010 10.546
Dy 0.958 -0.167 8.704
Er 9.410 1.978 -0.006
Er 12.111 6.080 4.318
Er 6.058 3.664 3.656
Er 8.759 7.766 7.982
Er 5.534 -0.929 2.002
Er 8.236 3.173 6.327
Er 6.183 5.078 8.971
Er 3.481 0.977 4.646
Er 4.129 6.984 11.615
Er 1.427 2.882 7.290
Er 0.905 -1.711 5.635
Er 3.606 2.391 9.961
Er -2.447 -0.025 9.299
Er 0.254 4.077 13.623
Th 2.131 -1.074 2.484
Th 4.832 3.027 6.808

10
Lattice="-0.999 -3.858 4.037 6.646 -1.614 0.106 2.502 0.513 5.083" Properties=species:S:1:pos:R:3 comment="Dy2GeHPd6, relaxed, DFT PBE" mass_density_g_cm3=10.3 energy_ev_per_atom=-5.5452 pbc="T T T"
Dy 2.522 -3.305 5.428
Dy 5.627 -1.654 3.798
Ge 2.824 -2.736 2.072
H 2.502 0.513 5.083
Pd 2.363 -0.914 3.686
Pd 7.008 -3.764 8.112
Pd 7.517 -1.827 6.079
Pd 0.633 -3.132 3.147
Pd 1.141 -1.196 1.114
Pd 5.787 -4.046 5.541

5
Lattice="-2.141 3.074 0.506 -3.048 -2.194 0.429 0.863 -0.222 4.996" Properties=species:S:1:pos:R:3 comment="CdAsPO2, relaxed, DFT PBE" mass_density_g_cm3=5.7 e_above_lowest_polymorph_ev_per_fu=0.00 energy_ev_per_atom=-4.4675 pbc="T T T"
P 0.432 -0.111 2.498
As 0.000 0.000 0.000
O -1.524 -1.097 0.215
O -1.070 1.537 0.253
Cd -2.163 0.329 2.966